Computed, not measured: Tb2PbS after structural relaxation at the GGA-PBE level of DFT.

Values from the calculation:
* space-group type: No. 164
* density of states at the Fermi level: 2.746 states/eV per cell
* V: 104 Å³/f.u.
* E_tot: -0.400 Ry per atom
* E above lowest polymorph: 57 meV per atom

Structure (CIF):
```
data_Tb2PbS
_chemical_formula_sum 'Tb2 Pb1 S1'
_cell_length_a 3.814
_cell_length_b 3.814
_cell_length_c 8.236
_cell_angle_alpha 90.00
_cell_angle_beta 90.00
_cell_angle_gamma 60.00
_space_group_name_H-M_alt 'P 1'
_space_group_IT_number 1
loop_
_space_group_symop_operation_xyz
'x,y,z'
loop_
_atom_site_label
_atom_site_type_symbol
_atom_site_fract_x
_atom_site_fract_y
_atom_site_fract_z
Tb1 Tb 0.667 0.667 0.195
Tb2 Tb 0.333 0.333 0.805
Pb1 Pb 0.000 0.000 0.500
S1 S 0.000 0.000 0.000
```

Computed, not measured: TbPb2S3 after structural relaxation at the GGA-PBE level of DFT.

Values from the calculation:
* space-group type: No. 12
* density of states at the Fermi level: 3.398 states/eV per cell
* V: 159 Å³/f.u.
* E_tot: -0.374 Ry per atom

Structure (CIF):
```
data_TbPb2S3
_chemical_formula_sum 'Tb2 Pb4 S6'
_cell_length_a 5.785
_cell_length_b 7.732
_cell_length_c 7.936
_cell_angle_alpha 104.39
_cell_angle_beta 111.38
_cell_angle_gamma 90.00
_space_group_name_H-M_alt 'P 1'
_space_group_IT_number 1
loop_
_space_group_symop_operation_xyz
'x,y,z'
loop_
_atom_site_label
_atom_site_type_symbol
_atom_site_fract_x
_atom_site_fract_y
_atom_site_fract_z
Tb1 Tb 0.000 0.750 0.000
Tb2 Tb 0.000 0.250 0.000
Pb1 Pb 0.663 0.582 0.326
Pb2 Pb 0.663 0.082 0.326
Pb3 Pb 0.337 0.918 0.674
Pb4 Pb 0.337 0.418 0.674
S1 S 0.500 0.250 0.000
S2 S 0.500 0.750 0.000
S3 S 0.135 0.069 0.270
S4 S 0.865 0.431 0.730
S5 S 0.135 0.569 0.270
S6 S 0.865 0.931 0.730
```

Computed, not measured: TbPbS2 after structural relaxation at the GGA-PBE level of DFT.

Values from the calculation:
* space-group type: No. 62
* density of states at the Fermi level: 6.845 states/eV per cell
* V: 111 Å³/f.u.
* E_tot: -0.392 Ry per atom
* E above lowest polymorph: 112 meV per atom

Structure (CIF):
```
data_TbPbS2
_chemical_formula_sum 'Tb4 Pb4 S8'
_cell_length_a 4.342
_cell_length_b 7.347
_cell_length_c 13.863
_cell_angle_alpha 90.00
_cell_angle_beta 90.00
_cell_angle_gamma 90.00
_space_group_name_H-M_alt 'P 1'
_space_group_IT_number 1
loop_
_space_group_symop_operation_xyz
'x,y,z'
loop_
_atom_site_label
_atom_site_type_symbol
_atom_site_fract_x
_atom_site_fract_y
_atom_site_fract_z
Tb1 Tb 0.250 0.597 0.105
Tb2 Tb 0.250 0.097 0.395
Tb3 Tb 0.750 0.403 0.895
Tb4 Tb 0.750 0.903 0.605
Pb1 Pb 0.750 0.203 0.182
Pb2 Pb 0.250 0.797 0.818
Pb3 Pb 0.750 0.703 0.318
Pb4 Pb 0.250 0.297 0.682
S1 S 0.750 0.211 0.492
S2 S 0.250 0.789 0.508
S3 S 0.750 0.711 0.008
S4 S 0.250 0.289 0.992
S5 S 0.750 0.108 0.772
S6 S 0.250 0.392 0.272
S7 S 0.750 0.608 0.728
S8 S 0.250 0.892 0.228
```

Computed, not measured: Tb4PbS3 after structural relaxation at the GGA-PBE level of DFT.

Values from the calculation:
* space-group type: No. 47
* density of states at the Fermi level: 3.818 states/eV per cell
* V: 192 Å³/f.u.
* E_tot: -0.433 Ry per atom

Structure (CIF):
```
data_Tb4PbS3
_chemical_formula_sum 'Tb4 Pb1 S3'
_cell_length_a 4.008
_cell_length_b 5.795
_cell_length_c 8.274
_cell_angle_alpha 90.00
_cell_angle_beta 90.00
_cell_angle_gamma 90.00
_space_group_name_H-M_alt 'P 1'
_space_group_IT_number 1
loop_
_space_group_symop_operation_xyz
'x,y,z'
loop_
_atom_site_label
_atom_site_type_symbol
_atom_site_fract_x
_atom_site_fract_y
_atom_site_fract_z
Pb1 Pb 0.000 0.000 0.000
S1 S 0.500 0.500 0.257
S2 S 0.000 0.000 0.500
S3 S 0.500 0.500 0.743
Tb1 Tb 0.000 0.500 0.500
Tb2 Tb 0.500 0.000 0.727
Tb3 Tb 0.000 0.500 0.000
Tb4 Tb 0.500 0.000 0.273
```

Computed, not measured: Tb2PbS after structural relaxation at the GGA-PBE level of DFT.

Values from the calculation:
* space-group type: No. 12
* density of states at the Fermi level: 2.183 states/eV per cell
* V: 103 Å³/f.u.
* E_tot: -0.404 Ry per atom
* E above lowest polymorph: 2 meV per atom

Structure (CIF):
```
data_Tb2PbS
_chemical_formula_sum 'Tb2 Pb1 S1'
_cell_length_a 3.882
_cell_length_b 3.882
_cell_length_c 8.220
_cell_angle_alpha 89.70
_cell_angle_beta 103.92
_cell_angle_gamma 120.10
_space_group_name_H-M_alt 'P 1'
_space_group_IT_number 1
loop_
_space_group_symop_operation_xyz
'x,y,z'
loop_
_atom_site_label
_atom_site_type_symbol
_atom_site_fract_x
_atom_site_fract_y
_atom_site_fract_z
Tb1 Tb 0.533 0.268 0.801
Tb2 Tb 0.467 0.732 0.199
Pb1 Pb 0.000 0.500 0.500
S1 S 0.000 0.000 0.000
```

Computed, not measured: TbPbS2 after structural relaxation at the GGA-PBE level of DFT.

Values from the calculation:
* space-group type: No. 166
* density of states at the Fermi level: 1.271 states/eV per cell
* V: 118 Å³/f.u.
* E_tot: -0.400 Ry per atom
* E above lowest polymorph: 2 meV per atom

Structure (CIF):
```
data_TbPbS2
_chemical_formula_sum 'Tb1 Pb1 S2'
_cell_length_a 3.953
_cell_length_b 3.953
_cell_length_c 8.985
_cell_angle_alpha 77.29
_cell_angle_beta 77.29
_cell_angle_gamma 60.00
_space_group_name_H-M_alt 'P 1'
_space_group_IT_number 1
loop_
_space_group_symop_operation_xyz
'x,y,z'
loop_
_atom_site_label
_atom_site_type_symbol
_atom_site_fract_x
_atom_site_fract_y
_atom_site_fract_z
Pb1 Pb 0.000 0.000 0.000
S1 S 0.109 0.109 0.673
S2 S 0.891 0.891 0.327
Tb1 Tb 0.500 0.500 0.500
```

Computed, not measured: Tb5PbS4 after structural relaxation at the GGA-PBE level of DFT.

Values from the calculation:
* space-group type: No. 12
* density of states at the Fermi level: 4.399 states/eV per cell
* V: 233 Å³/f.u.
* E_tot: -0.441 Ry per atom

Structure (CIF):
```
data_Tb5PbS4
_chemical_formula_sum 'Tb5 Pb1 S4'
_cell_length_a 3.981
_cell_length_b 6.989
_cell_length_c 9.143
_cell_angle_alpha 75.88
_cell_angle_beta 77.43
_cell_angle_gamma 73.45
_space_group_name_H-M_alt 'P 1'
_space_group_IT_number 1
loop_
_space_group_symop_operation_xyz
'x,y,z'
loop_
_atom_site_label
_atom_site_type_symbol
_atom_site_fract_x
_atom_site_fract_y
_atom_site_fract_z
Tb1 Tb 0.206 0.907 0.681
Tb2 Tb 0.794 0.093 0.319
Tb3 Tb 0.391 0.337 0.882
Tb4 Tb 0.000 0.500 0.500
Tb5 Tb 0.609 0.663 0.118
Pb1 Pb 0.000 0.000 0.000
S1 S 0.595 0.210 0.601
S2 S 0.204 0.382 0.211
S3 S 0.796 0.618 0.789
S4 S 0.405 0.790 0.399
```

Computed, not measured: TbPb6S8 after structural relaxation at the GGA-PBE level of DFT.

Values from the calculation:
* space-group type: No. 148
* density of states at the Fermi level: 11.607 states/eV per cell
* V: 426 Å³/f.u.
* E_tot: -0.342 Ry per atom

Structure (CIF):
```
data_TbPb6S8
_chemical_formula_sum 'Tb1 Pb6 S8'
_cell_length_a 7.838
_cell_length_b 7.838
_cell_length_c 7.838
_cell_angle_alpha 72.47
_cell_angle_beta 72.47
_cell_angle_gamma 72.47
_space_group_name_H-M_alt 'P 1'
_space_group_IT_number 1
loop_
_space_group_symop_operation_xyz
'x,y,z'
loop_
_atom_site_label
_atom_site_type_symbol
_atom_site_fract_x
_atom_site_fract_y
_atom_site_fract_z
Tb1 Tb 0.000 0.000 0.000
Pb1 Pb 0.519 0.267 0.975
Pb2 Pb 0.267 0.975 0.519
Pb3 Pb 0.975 0.519 0.267
Pb4 Pb 0.481 0.733 0.025
Pb5 Pb 0.733 0.025 0.481
Pb6 Pb 0.025 0.481 0.733
S1 S 0.683 0.683 0.683
S2 S 0.317 0.317 0.317
S3 S 0.663 0.914 0.166
S4 S 0.914 0.166 0.663
S5 S 0.166 0.663 0.914
S6 S 0.337 0.086 0.834
S7 S 0.086 0.834 0.337
S8 S 0.834 0.337 0.086
```